Entry 1:
Density functional theory data (PBE-GGA) for a relaxed Zn2Fe6Co crystal.

Lattice parameters (Å, degrees): 2.466 7.036 7.337 118.65 99.68 90.00
Each line ends with the local moment (μB).
Element x y z (fractional)
Zn 0.847 0.847 0.693  -0.06
Zn 0.153 0.153 0.307  -0.06
Fe 0.332 0.164 0.663  2.33
Fe 0.500 0.181 0.000  2.35
Fe 0.500 0.819 0.000  2.35
Fe 0.332 0.499 0.663  2.33
Fe 0.668 0.836 0.337  2.33
Fe 0.668 0.501 0.337  2.33
Co 0.000 0.500 0.000  1.70

* calculated formation energy: 0.15 eV per atom
* M_tot: 15.50 μB per formula unit
* ρ: 7.95 g/cm³

Entry 2:
Density functional theory data (PBE-GGA) for a relaxed ZnFe2Co2 crystal.

Lattice parameters (Å, degrees): 6.772 6.772 2.685 90.00 90.00 90.00
Each line ends with the local moment (μB).
Element x y z (fractional)
Fe 0.842 0.342 0.500  2.59
Fe 0.658 0.842 0.500  2.59
Fe 0.158 0.658 0.500  2.59
Fe 0.342 0.158 0.500  2.59
Co 0.138 0.362 0.000  1.36
Co 0.638 0.138 0.000  1.35
Co 0.362 0.862 0.000  1.35
Co 0.862 0.638 0.000  1.36
Zn 0.000 0.000 0.000  -0.04
Zn 0.500 0.500 0.000  -0.04

* calculated formation energy: 0.12 eV per atom
* relative energy among the computed polymorphs: 0.000 eV/f.u.
* M_tot: 7.81 μB per formula unit
* ρ: 7.95 g/cm³

Entry 3:
Density functional theory data (PBE-GGA) for a relaxed ZnFe2Co4 crystal.

Lattice parameters (Å, degrees): 2.541 2.524 12.836 90.00 95.68 90.00
Each line ends with the local moment (μB).
Element x y z (fractional)
Co 0.926 0.500 0.853  1.43
Co 0.363 0.000 0.726  1.54
Co 0.074 0.500 0.147  1.43
Co 0.637 0.000 0.274  1.54
Fe 0.792 0.500 0.583  2.65
Fe 0.208 0.500 0.417  2.65
Zn 0.500 0.000 0.000  -0.06

* calculated formation energy: 0.08 eV per atom
* M_tot: 11.07 μB per formula unit
* ρ: 8.37 g/cm³

Entry 4:
Density functional theory data (PBE-GGA) for a relaxed ZrZnFeCo crystal.

Lattice parameters (Å, degrees): 4.286 4.286 4.286 60.00 60.00 60.00
Each line ends with the local moment (μB).
Element x y z (fractional)
Fe 0.750 0.750 0.750  0.92
Co 0.250 0.250 0.250  0.20
Zn 0.000 0.000 0.000  -0.02
Zr 0.500 0.500 0.500  -0.16

* calculated formation energy: -0.10 eV per atom
* M_tot: 0.89 μB per formula unit
* ρ: 8.10 g/cm³

Entry 5:
Density functional theory data (PBE-GGA) for a relaxed ZrFeCo2 crystal.

Lattice parameters (Å, degrees): 5.002 4.846 2.748 79.31 79.05 117.53
Each line ends with the local moment (μB).
Element x y z (fractional)
Co 0.000 0.000 0.000  1.30
Co 0.500 0.000 0.500  1.30
Fe 0.000 0.500 0.500  2.38
Zr 0.500 0.500 0.000  -0.31

* calculated formation energy: 0.12 eV per atom
* M_tot: 4.53 μB per formula unit
* ρ: 7.99 g/cm³

Entry 6:
Density functional theory data (PBE-GGA) for a relaxed ZrFe2Co crystal.

Lattice parameters (Å, degrees): 4.979 4.979 4.979 137.35 137.35 61.90
Each line ends with the local moment (μB).
Element x y z (fractional)
Zr 0.250 0.750 0.500  -0.32
Fe 0.000 0.000 0.000  2.47
Fe 0.500 0.500 0.000  2.47
Co 0.750 0.250 0.500  0.87

* calculated formation energy: -0.03 eV per atom
* M_tot: 5.41 μB per formula unit
* ρ: 7.77 g/cm³

Entry 7:
Density functional theory data (PBE-GGA) for a relaxed ZrFeCo2 crystal.

Lattice parameters (Å, degrees): 4.258 4.258 4.258 60.00 60.00 60.00
Each line ends with the local moment (μB).
Element x y z (fractional)
Fe 0.500 0.500 0.500  2.10
Zr 0.750 0.750 0.750  -0.29
Co 0.000 0.000 0.000  1.03
Co 0.250 0.250 0.250  1.67

* calculated formation energy: 0.00 eV per atom
* M_tot: 4.37 μB per formula unit
* ρ: 8.06 g/cm³

Entry 8:
Density functional theory data (PBE-GGA) for a relaxed Zr2Fe2Co15 crystal.

Lattice parameters (Å, degrees): 6.189 6.189 6.189 82.90 82.90 82.90
Each line ends with the local moment (μB).
Element x y z (fractional)
Co 0.352 0.846 0.352  1.41
Co 0.648 0.154 0.648  1.41
Co 0.352 0.352 0.846  1.41
Co 0.706 0.294 0.000  1.49
Co 0.846 0.352 0.352  1.41
Co 0.294 0.000 0.706  1.49
Co 0.000 0.000 0.500  1.50
Co 0.500 0.000 0.000  1.50
Co 0.000 0.294 0.706  1.49
Co 0.000 0.500 0.000  1.50
Co 0.648 0.648 0.154  1.41
Co 0.294 0.706 0.000  1.49
Co 0.706 0.000 0.294  1.49
Co 0.154 0.648 0.648  1.41
Co 0.000 0.706 0.294  1.49
Zr 0.655 0.655 0.655  -0.44
Zr 0.345 0.345 0.345  -0.44
Fe 0.100 0.100 0.100  2.54
Fe 0.900 0.900 0.900  2.54

* calculated formation energy: -0.11 eV per atom
* M_tot: 25.40 μB per formula unit
* ρ: 8.43 g/cm³